A relaxed structure of TlMo2Ir, computed with GGA-PBE.

calculated total energy: -31.2 eV/cell
energy above the lowest structure with this stoichiometry: 42 kJ/mol of formula units

abc: 5.0081 5.0081 5.0614
angles: 80.45 80.45 33.19
Atoms (fractional coordinates):
1 Ir 0.2640 0.2640 0.2255
2 Mo 0.9917 0.9917 0.9990
3 Mo 0.7405 0.7405 0.7804
4 Tl 0.5038 0.5038 0.4951


A relaxed structure of TlMo2Ir, computed with GGA-PBE.

calculated total energy: -31.2 eV/cell
energy above the lowest structure with this stoichiometry: 36 kJ/mol of formula units

abc: 5.2345 5.2345 5.2345
angles: 136.43 136.46 63.29
Atoms (fractional coordinates):
1 Ir 0.2500 0.7500 0.5000
2 Mo 0.0000 0.0000 0.0000
3 Mo 0.5000 0.5000 0.0000
4 Tl 0.7500 0.2500 0.5000


A relaxed structure of Tl3MoIr, computed with GGA-PBE.

calculated total energy: -19.0 eV/cell
energy above the lowest structure with this stoichiometry: 252 kJ/mol of formula units

abc: 5.3380 5.3380 5.3380
angles: 90.00 90.00 90.00
Atoms (fractional coordinates):
1 Tl 0.0000 0.5000 0.0000
2 Tl 0.0000 0.0000 0.5000
3 Tl 0.5000 0.0000 0.0000
4 Ir 0.5000 0.5000 0.5000
5 Mo 0.0000 0.0000 0.0000


A relaxed structure of TlMo2Ir, computed with GGA-PBE.

calculated total energy: -30.1 eV/cell
energy above the lowest structure with this stoichiometry: 145 kJ/mol of formula units

abc: 4.5871 4.5871 4.5871
angles: 60.00 60.00 60.00
Atoms (fractional coordinates):
1 Tl 0.5000 0.5000 0.5000
2 Ir 0.0000 0.0000 0.0000
3 Mo 0.2500 0.2500 0.2500
4 Mo 0.7500 0.7500 0.7500


A relaxed structure of TlMo2Ir, computed with GGA-PBE.

calculated total energy: -31.0 eV/cell
energy above the lowest structure with this stoichiometry: 57 kJ/mol of formula units

abc: 9.6789 9.6789 9.6789
angles: 17.27 17.27 17.27
Atoms (fractional coordinates):
1 Ir 0.7426 0.7426 0.7426
2 Mo 0.0039 0.0039 0.0039
3 Mo 0.2548 0.2548 0.2548
4 Tl 0.4988 0.4988 0.4988


A relaxed structure of TlMoIr3, computed with GGA-PBE.

calculated total energy: -25.8 eV/cell
energy above the lowest structure with this stoichiometry: 653 kJ/mol of formula units

abc: 4.8409 4.8409 4.8409
angles: 90.00 90.00 90.00
Atoms (fractional coordinates):
1 Tl 0.0000 0.0000 0.0000
2 Ir 0.0000 0.5000 0.0000
3 Ir 0.0000 0.0000 0.5000
4 Ir 0.5000 0.0000 0.0000
5 Mo 0.5000 0.5000 0.5000


> The highest energy above the lowest structure with this stoichiometry belongs to which entry?

TlMoIr3


> Which value of energy above the lowest structure with this stoichiometry does entry 4 give?

145 kJ/mol of formula units


Copy entry 5 word for word.
A relaxed structure of TlMo2Ir, computed with GGA-PBE.

calculated total energy: -31.0 eV/cell
energy above the lowest structure with this stoichiometry: 57 kJ/mol of formula units

abc: 9.6789 9.6789 9.6789
angles: 17.27 17.27 17.27
Atoms (fractional coordinates):
1 Ir 0.7426 0.7426 0.7426
2 Mo 0.0039 0.0039 0.0039
3 Mo 0.2548 0.2548 0.2548
4 Tl 0.4988 0.4988 0.4988